LaSiSe2, optimized geometry, DFT PBE; Fermi-level density of states = 2.5 states/eV per cell; density = 5.350 Mg/m³; magnetization = 0.001 μB per formula unit; crystal system = trigonal; energy relative to the elements, uncorrected = -74.92 kJ/mol of atoms
1.0
2.0692 1.1946 6.7997
-2.0692 1.1946 6.7997
0.0000 -2.3893 6.7997
La Si Se
1 1 2
Cartesian
0.0000 0.0000 0.0000
0.0000 0.0000 10.1995
0.0000 0.0000 4.8761
0.0000 0.0000 15.5230